No. 1
The following is a PBE calculation of BeCu2Os after structural relaxation, from Alexandria.

Cell lengths 4.937, 4.937, 4.138 Å; angles 65.24, 65.24, 30.41 degrees
Positions (direct):
Cu 0.026 0.026 0.974
Cu 0.474 0.474 0.526
Os 0.250 0.250 0.250
Be 0.750 0.750 0.750

Computed properties:
**V**: 46 Å³/cell
**ΔH_f (0 K)**: 0.100 eV/atom
**Space group**: Immm, No. 71

=====

No. 2
The following is a PBE calculation of LaNi2Mo after structural relaxation, from Alexandria.

Cell lengths 3.151, 3.151, 6.966 Å; angles 90.00, 90.00, 90.02 degrees
Positions (direct):
La 0.500 0.500 0.250
Mo 0.500 0.500 0.750
Ni 0.000 0.000 0.567
Ni 0.000 0.000 0.933

Computed properties:
**V**: 69 Å³/cell
**ΔH_f (0 K)**: 0.107 eV/atom
**Energy relative to the lowest polymorph listed for this composition**: 0.166 eV per atom
**Space group**: P4/mmm, No. 123

=====

No. 3
The following is a PBE calculation of Cd2In2Pt after structural relaxation, from Alexandria.

Cell lengths 3.955, 3.955, 8.124 Å; angles 75.91, 75.91, 90.00 degrees
Positions (direct):
In 0.750 0.250 0.500
In 0.250 0.750 0.500
Cd 0.588 0.588 0.825
Cd 0.412 0.412 0.175
Pt 0.000 0.000 0.000

Computed properties:
**V**: 119 Å³/cell
**ΔH_f (0 K)**: 0.289 eV/atom
**Energy relative to the lowest polymorph listed for this composition**: 0.284 eV per atom
**Space group**: I4/mmm, No. 139

=====

No. 4
The following is a PBE calculation of Zr2ScCd6 after structural relaxation, from Alexandria.

Cell lengths 3.155, 8.443, 8.443 Å; angles 120.00, 90.00, 90.00 degrees
Positions (direct):
Cd 0.500 0.333 0.333
Cd 0.500 0.333 0.000
Cd 0.500 0.667 0.000
Cd 0.500 0.667 0.667
Cd 0.500 0.000 0.333
Cd 0.500 0.000 0.667
Sc 0.000 0.000 0.000
Zr 0.000 0.333 0.667
Zr 0.000 0.667 0.333

Computed properties:
**V**: 195 Å³/cell
**ΔH_f (0 K)**: -0.131 eV/atom
**Space group**: P6/mmm, No. 191

=====

No. 5
The following is a PBE calculation of La8FeRh2 after structural relaxation, from Alexandria.

Cell lengths 7.210, 7.430, 7.536 Å; angles 89.12, 118.58, 90.00 degrees
Positions (direct):
Rh 0.886 0.555 0.771
Rh 0.114 0.445 0.229
La 0.212 0.250 0.923
La 0.296 0.598 0.591
La 0.704 0.402 0.409
La 0.796 0.892 0.592
La 0.711 0.250 0.923
La 0.289 0.750 0.077
La 0.788 0.750 0.077
La 0.204 0.108 0.408
Fe 0.000 0.000 0.000

Computed properties:
**V**: 355 Å³/cell
**ΔH_f (0 K)**: -0.242 eV/atom
**Space group**: C2/m, No. 12

=====

No. 6
The following is a PBE calculation of Sm5CoTe2 after structural relaxation, from Alexandria.

Cell lengths 4.409, 8.134, 12.541 Å; angles 90.00, 90.00, 90.00 degrees
Positions (direct):
Sm 0.000 0.365 0.308
Sm 0.500 0.317 0.564
Sm 0.000 0.000 0.500
Sm 0.500 0.683 0.436
Sm 0.000 0.865 0.192
Sm 0.500 0.817 0.936
Sm 0.500 0.183 0.064
Sm 0.000 0.635 0.692
Sm 0.000 0.135 0.808
Sm 0.000 0.500 0.000
Te 0.500 0.426 0.824
Te 0.500 0.074 0.324
Te 0.500 0.574 0.176
Te 0.500 0.926 0.676
Co 0.000 0.500 0.500
Co 0.000 0.000 0.000

Computed properties:
**V**: 450 Å³/cell
**Formation energy from raw total energies**: -0.748 eV per atom
**Energy relative to the lowest polymorph listed for this composition**: 0.000 eV per atom
**Space group**: Pbam, No. 55

=====

No. 7
The following is a PBE calculation of Y2CoAu after structural relaxation, from Alexandria.

Cell lengths 6.179, 6.179, 6.179 Å; angles 148.08, 135.84, 55.52 degrees
Positions (direct):
Y 0.256 0.756 0.500
Y 0.963 0.963 0.000
Co 0.736 0.236 0.500
Au 0.545 0.545 0.000

Computed properties:
**V**: 86 Å³/cell
**ΔH_f (0 K)**: -0.285 eV/atom
**Space group**: Imm2, No. 44

=====

No. 8
The following is a PBE calculation of TlTc2P after structural relaxation, from Alexandria.

Cell lengths 5.480, 5.480, 4.402 Å; angles 90.00, 90.00, 147.98 degrees
Positions (direct):
Tc 0.603 0.397 0.500
Tc 0.196 0.804 0.000
P 0.273 0.727 0.500
Tl 0.936 0.064 0.000

Computed properties:
**V**: 70 Å³/cell
**ΔH_f (0 K)**: 0.268 eV/atom
**Energy relative to the lowest polymorph listed for this composition**: 0.224 eV per atom
**Space group**: Amm2, No. 38